[1]
## Y2HoAlN (PBE)

Data for an optimized crystal structure of Y2HoAlN.

a = 4.785 Å, b = 4.785 Å, c = 4.749 Å
α = 90.00°, β = 90.00°, γ = 90.00°
Positions (direct):
Y1 0.000 0.500 0.000
Y2 0.500 0.000 0.000
Ho1 0.000 0.000 0.500
Al1 0.500 0.500 0.500
N1 0.000 0.000 0.000

Computed properties:
As for the raw total energy: -34.23 eV/cell. The calculation puts the mass density at 5.860 g/cm³. For the uncorrected formation energy, the calculation gives -0.932 eV per atom. For the total moment, the calculation gives 0.00 Bohr magnetons per cell.



[2]
## YHo2AlN (PBE)

Data for an optimized crystal structure of YHo2AlN.

a = 4.748 Å, b = 4.748 Å, c = 4.783 Å
α = 90.00°, β = 90.00°, γ = 90.00°
Positions (direct):
Y1 0.000 0.000 0.000
Ho1 0.000 0.500 0.500
Ho2 0.500 0.000 0.500
Al1 0.500 0.500 0.000
N1 0.000 0.000 0.500

Computed properties:
As for the raw total energy: -32.35 eV/cell. The calculation puts the mass density at 7.082 g/cm³. For the uncorrected formation energy, the calculation gives -0.932 eV per atom. For the total moment, the calculation gives 0.00 Bohr magnetons per cell.



[3]
## NaHoAl (PBE)

Data for an optimized crystal structure of NaHoAl.

a = 16.851 Å, b = 3.318 Å, c = 3.318 Å
α = 61.02°, β = 90.00°, γ = 90.00°
Positions (direct):
Na1 0.160 0.000 0.000
Na2 0.840 0.000 0.000
Ho1 0.357 0.343 0.343
Ho2 0.643 0.343 0.343
Al1 0.000 0.342 0.342
Al2 0.500 0.005 0.005

Computed properties:
As for the raw total energy: -18.39 eV/cell. The calculation puts the mass density at 4.398 g/cm³. For the total moment, the calculation gives 0.00 Bohr magnetons per cell.



[4]
## NaNdHoAl (PBE)

Data for an optimized crystal structure of NaNdHoAl.

a = 5.354 Å, b = 5.354 Å, c = 5.354 Å
α = 60.00°, β = 60.00°, γ = 60.00°
Positions (direct):
Na1 0.000 0.000 0.000
Nd1 0.750 0.750 0.750
Ho1 0.250 0.250 0.250
Al1 0.500 0.500 0.500

Computed properties:
As for the raw total energy: -14.57 eV/cell. The calculation puts the mass density at 5.497 g/cm³. For the total moment, the calculation gives 0.00 Bohr magnetons per cell.



[5]
## Na3Ho3AlO8 (PBE)

Data for an optimized crystal structure of Na3Ho3AlO8.

a = 6.725 Å, b = 6.725 Å, c = 6.725 Å
α = 58.99°, β = 58.99°, γ = 58.99°
Positions (direct):
Na1 0.000 0.500 0.500
Na2 0.500 0.000 0.500
Na3 0.500 0.500 0.000
Ho1 0.000 0.000 0.500
Ho2 0.000 0.500 0.000
Ho3 0.500 0.000 0.000
Al1 0.500 0.500 0.500
O1 0.237 0.237 0.237
O2 0.268 0.711 0.711
O3 0.289 0.289 0.732
O4 0.289 0.732 0.289
O5 0.711 0.268 0.711
O6 0.711 0.711 0.268
O7 0.732 0.289 0.289
O8 0.763 0.763 0.763

Computed properties:
As for the raw total energy: -100.66 eV/cell. The calculation puts the mass density at 5.680 g/cm³. For the uncorrected formation energy, the calculation gives -2.638 eV per atom. For the total moment, the calculation gives 1.12 Bohr magnetons per cell.



[6]
## Na3Ho2AlO6 (PBE)

Data for an optimized crystal structure of Na3Ho2AlO6.

a = 5.642 Å, b = 5.642 Å, c = 5.827 Å
α = 99.08°, β = 99.08°, γ = 120.15°
Positions (direct):
Na1 0.000 0.000 0.000
Na2 0.345 0.655 0.000
Na3 0.655 0.345 0.000
Ho1 0.167 0.833 0.500
Ho2 0.833 0.167 0.500
Al1 0.500 0.500 0.500
O1 0.133 0.434 0.297
O2 0.265 0.265 0.697
O3 0.434 0.133 0.297
O4 0.566 0.867 0.703
O5 0.735 0.735 0.303
O6 0.867 0.566 0.703

Computed properties:
As for the raw total energy: -78.29 eV/cell. The calculation puts the mass density at 5.695 g/cm³. For the uncorrected formation energy, the calculation gives -2.641 eV per atom. For the total moment, the calculation gives 0.00 Bohr magnetons per cell.



[7]
## Na2HoAlO4 (PBE)

Data for an optimized crystal structure of Na2HoAlO4.

a = 5.480 Å, b = 3.194 Å, c = 5.795 Å
α = 90.00°, β = 108.72°, γ = 90.00°
Positions (direct):
Na1 0.000 0.000 0.000
Na2 0.500 0.500 0.000
Ho1 0.000 0.500 0.500
Al1 0.500 0.000 0.500
O1 0.270 0.000 0.699
O2 0.289 0.500 0.301
O3 0.711 0.500 0.699
O4 0.730 0.000 0.301

Computed properties:
As for the raw total energy: -51.10 eV/cell. The calculation puts the mass density at 5.218 g/cm³. For the uncorrected formation energy, the calculation gives -2.539 eV per atom. For the total moment, the calculation gives 0.00 Bohr magnetons per cell.



[8]
## NaPrHoAl (PBE)

Data for an optimized crystal structure of NaPrHoAl.

a = 5.372 Å, b = 5.372 Å, c = 5.372 Å
α = 60.00°, β = 60.00°, γ = 60.00°
Positions (direct):
Na1 0.000 0.000 0.000
Pr1 0.750 0.750 0.750
Ho1 0.250 0.250 0.250
Al1 0.500 0.500 0.500

Computed properties:
As for the raw total energy: -14.59 eV/cell. The calculation puts the mass density at 5.390 g/cm³. For the total moment, the calculation gives 0.00 Bohr magnetons per cell.



[9]
## Na4Ho3AlS8 (PBE)

Data for an optimized crystal structure of Na4Ho3AlS8.

a = 8.039 Å, b = 8.039 Å, c = 8.039 Å
α = 57.73°, β = 57.73°, γ = 57.73°
Positions (direct):
Na1 0.000 0.000 0.000
Na2 0.000 0.500 0.500
Na3 0.500 0.000 0.500
Na4 0.500 0.500 0.000
Ho1 0.000 0.000 0.500
Ho2 0.000 0.500 0.000
Ho3 0.500 0.000 0.000
Al1 0.500 0.500 0.500
S1 0.243 0.243 0.243
S2 0.261 0.728 0.728
S3 0.272 0.272 0.739
S4 0.272 0.739 0.272
S5 0.728 0.261 0.728
S6 0.728 0.728 0.261
S7 0.739 0.272 0.272
S8 0.757 0.757 0.757

Computed properties:
As for the raw total energy: -81.99 eV/cell. The calculation puts the mass density at 4.151 g/cm³. For the uncorrected formation energy, the calculation gives -1.638 eV per atom. For the total moment, the calculation gives 0.00 Bohr magnetons per cell.



[10]
## Na3Ho2AlS6 (PBE)

Data for an optimized crystal structure of Na3Ho2AlS6.

a = 6.673 Å, b = 6.673 Å, c = 7.033 Å
α = 99.14°, β = 99.14°, γ = 120.05°
Positions (direct):
Na1 0.000 0.000 0.000
Na2 0.332 0.668 0.000
Na3 0.668 0.332 0.000
Ho1 0.167 0.833 0.500
Ho2 0.833 0.167 0.500
Al1 0.500 0.500 0.500
S1 0.118 0.427 0.282
S2 0.265 0.265 0.714
S3 0.427 0.118 0.282
S4 0.573 0.882 0.718
S5 0.735 0.735 0.286
S6 0.882 0.573 0.718

Computed properties:
As for the raw total energy: -60.63 eV/cell. The calculation puts the mass density at 3.995 g/cm³. For the uncorrected formation energy, the calculation gives -1.584 eV per atom. For the total moment, the calculation gives 0.00 Bohr magnetons per cell.



[11]
## Na3Ho2AlSe6 (PBE)

Data for an optimized crystal structure of Na3Ho2AlSe6.

a = 6.982 Å, b = 6.982 Å, c = 7.376 Å
α = 99.12°, β = 99.12°, γ = 120.05°
Positions (direct):
Na1 0.000 0.000 0.000
Na2 0.331 0.669 0.000
Na3 0.669 0.331 0.000
Ho1 0.166 0.834 0.500
Ho2 0.834 0.166 0.500
Al1 0.500 0.500 0.500
Se1 0.116 0.427 0.280
Se2 0.265 0.265 0.717
Se3 0.427 0.116 0.280
Se4 0.573 0.884 0.720
Se5 0.735 0.735 0.283
Se6 0.884 0.573 0.720

Computed properties:
As for the raw total energy: -54.98 eV/cell. The calculation puts the mass density at 5.061 g/cm³. For the uncorrected formation energy, the calculation gives -1.435 eV per atom. For the total moment, the calculation gives 0.00 Bohr magnetons per cell.



[12]
## Na4Ho3AlTe8 (PBE)

Data for an optimized crystal structure of Na4Ho3AlTe8.

a = 9.081 Å, b = 9.081 Å, c = 9.081 Å
α = 57.31°, β = 57.31°, γ = 57.31°
Positions (direct):
Na1 0.000 0.000 0.000
Na2 0.000 0.500 0.500
Na3 0.500 0.000 0.500
Na4 0.500 0.500 0.000
Ho1 0.000 0.000 0.500
Ho2 0.000 0.500 0.000
Ho3 0.500 0.000 0.000
Al1 0.500 0.500 0.500
Te1 0.244 0.244 0.244
Te2 0.259 0.731 0.731
Te3 0.269 0.269 0.741
Te4 0.269 0.741 0.269
Te5 0.731 0.259 0.731
Te6 0.731 0.731 0.259
Te7 0.741 0.269 0.269
Te8 0.756 0.756 0.756

Computed properties:
As for the raw total energy: -65.58 eV/cell. The calculation puts the mass density at 5.464 g/cm³. For the uncorrected formation energy, the calculation gives -1.106 eV per atom. For the total moment, the calculation gives 0.00 Bohr magnetons per cell.



[13]
## Na2HoAlTe4 (PBE)

Data for an optimized crystal structure of Na2HoAlTe4.

a = 8.778 Å, b = 8.778 Å, c = 8.778 Å
α = 121.96°, β = 118.65°, γ = 89.50°
Positions (direct):
Na1 0.000 0.000 0.000
Na2 0.500 0.000 0.000
Na3 0.500 0.000 0.500
Na4 0.500 0.500 0.500
Ho1 0.000 0.500 0.500
Ho2 0.500 0.500 0.000
Al1 0.000 0.000 0.500
Al2 0.000 0.500 0.000
Te1 0.212 0.747 0.465
Te2 0.217 0.253 0.965
Te3 0.237 0.242 0.505
Te4 0.237 0.732 0.995
Te5 0.763 0.268 0.005
Te6 0.763 0.758 0.495
Te7 0.783 0.747 0.035
Te8 0.788 0.253 0.535

Computed properties:
As for the raw total energy: -61.56 eV/cell. The calculation puts the mass density at 5.226 g/cm³. For the uncorrected formation energy, the calculation gives -0.907 eV per atom. For the total moment, the calculation gives 0.00 Bohr magnetons per cell.



[14]
## NaHoAlTl (PBE)

Data for an optimized crystal structure of NaHoAlTl.

a = 5.197 Å, b = 5.197 Å, c = 5.197 Å
α = 60.00°, β = 60.00°, γ = 60.00°
Positions (direct):
Na1 0.000 0.000 0.000
Ho1 0.500 0.500 0.500
Al1 0.750 0.750 0.750
Tl1 0.250 0.250 0.250

Computed properties:
As for the raw total energy: -12.44 eV/cell. The calculation puts the mass density at 7.015 g/cm³. For the total moment, the calculation gives 0.00 Bohr magnetons per cell.



[15]
## NaHoTmAl (PBE)

Data for an optimized crystal structure of NaHoTmAl.

a = 5.243 Å, b = 5.243 Å, c = 5.243 Å
α = 60.00°, β = 60.00°, γ = 60.00°
Positions (direct):
Na1 0.000 0.000 0.000
Ho1 0.250 0.250 0.250
Tm1 0.750 0.750 0.750
Al1 0.500 0.500 0.500

Computed properties:
As for the raw total energy: -14.19 eV/cell. The calculation puts the mass density at 6.255 g/cm³. For the total moment, the calculation gives 0.00 Bohr magnetons per cell.



[16]
## NaYHoAl (PBE)

Data for an optimized crystal structure of NaYHoAl.

a = 5.280 Å, b = 5.280 Å, c = 5.280 Å
α = 60.00°, β = 60.00°, γ = 60.00°
Positions (direct):
Na1 0.000 0.000 0.000
Y1 0.250 0.250 0.250
Ho1 0.750 0.750 0.750
Al1 0.500 0.500 0.500

Computed properties:
As for the raw total energy: -16.30 eV/cell. The calculation puts the mass density at 4.847 g/cm³. For the total moment, the calculation gives 0.00 Bohr magnetons per cell.



[17]
## HoNbAl2 (PBE)

Data for an optimized crystal structure of HoNbAl2.

a = 3.531 Å, b = 3.531 Å, c = 6.345 Å
α = 90.00°, β = 90.00°, γ = 90.00°
Positions (direct):
Ho1 0.000 0.000 0.000
Nb1 0.000 0.000 0.500
Al1 0.500 0.500 0.295
Al2 0.500 0.500 0.705

Computed properties:
As for the raw total energy: -23.18 eV/cell. The calculation puts the mass density at 6.547 g/cm³. Its energy above the most stable polymorph in this dataset is 0 meV per atom. For the total moment, the calculation gives 0.00 Bohr magnetons per cell.



[18]
## HoNbAl2 (PBE)

Data for an optimized crystal structure of HoNbAl2.

a = 10.016 Å, b = 10.016 Å, c = 10.016 Å
α = 17.66°, β = 17.66°, γ = 17.66°
Positions (direct):
Ho1 0.000 0.000 0.000
Nb1 0.500 0.500 0.500
Al1 0.243 0.243 0.243
Al2 0.757 0.757 0.757

Computed properties:
As for the raw total energy: -22.22 eV/cell. The calculation puts the mass density at 6.411 g/cm³. Its energy above the most stable polymorph in this dataset is 240 meV per atom. For the total moment, the calculation gives 0.00 Bohr magnetons per cell.



[19]
## Ho3NbAl8 (PBE)

Data for an optimized crystal structure of Ho3NbAl8.

a = 9.433 Å, b = 9.433 Å, c = 9.433 Å
α = 33.46°, β = 33.46°, γ = 33.46°
Positions (direct):
Ho1 0.000 0.000 0.000
Ho2 0.126 0.126 0.126
Ho3 0.623 0.623 0.623
Nb1 0.500 0.500 0.500
Al1 0.060 0.060 0.559
Al2 0.060 0.559 0.060
Al3 0.066 0.564 0.564
Al4 0.312 0.312 0.312
Al5 0.559 0.060 0.060
Al6 0.564 0.066 0.564
Al7 0.564 0.564 0.066
Al8 0.813 0.813 0.813

Computed properties:
As for the raw total energy: -59.02 eV/cell. The calculation puts the mass density at 5.871 g/cm³. For the total moment, the calculation gives 0.00 Bohr magnetons per cell.



[20]
## HoNbAl (PBE)

Data for an optimized crystal structure of HoNbAl.

a = 7.094 Å, b = 7.094 Å, c = 4.591 Å
α = 90.00°, β = 90.00°, γ = 120.00°
Positions (direct):
Ho1 0.000 0.574 0.000
Ho2 0.426 0.426 0.000
Ho3 0.574 0.000 0.000
Nb1 0.000 0.218 0.500
Nb2 0.218 0.000 0.500
Nb3 0.782 0.782 0.500
Al1 0.000 0.000 0.000
Al2 0.333 0.667 0.500
Al3 0.667 0.333 0.500

Computed properties:
As for the raw total energy: -56.56 eV/cell. The calculation puts the mass density at 7.091 g/cm³. For the total moment, the calculation gives 0.00 Bohr magnetons per cell.



[21]
## HoNbAl2O8 (PBE)

Data for an optimized crystal structure of HoNbAl2O8.

a = 5.744 Å, b = 5.744 Å, c = 5.744 Å
α = 107.85°, β = 107.85°, γ = 112.76°
Positions (direct):
Ho1 0.000 0.000 0.000
Nb1 0.250 0.750 0.500
Al1 0.500 0.500 0.000
Al2 0.750 0.250 0.500
O1 0.326 0.121 0.796
O2 0.326 0.530 0.204
O3 0.372 0.050 0.322
O4 0.470 0.674 0.796
O5 0.728 0.050 0.678
O6 0.879 0.674 0.204
O7 0.950 0.272 0.322
O8 0.950 0.628 0.678

Computed properties:
As for the raw total energy: -91.61 eV/cell. The calculation puts the mass density at 5.018 g/cm³. For the uncorrected formation energy, the calculation gives -2.484 eV per atom. For the total moment, the calculation gives 2.02 Bohr magnetons per cell.



[22]
## Ho2NbAl2Ru5 (PBE)

Data for an optimized crystal structure of Ho2NbAl2Ru5.

a = 10.101 Å, b = 10.101 Å, c = 3.303 Å
α = 90.00°, β = 90.00°, γ = 90.00°
Positions (direct):
Ho1 0.172 0.328 0.000
Ho2 0.328 0.828 0.000
Ho3 0.672 0.172 0.000
Ho4 0.828 0.672 0.000
Nb1 0.000 0.000 0.000
Nb2 0.500 0.500 0.000
Al1 0.127 0.627 0.000
Al2 0.373 0.127 0.000
Al3 0.627 0.873 0.000
Al4 0.873 0.373 0.000
Ru1 0.000 0.500 0.500
Ru2 0.067 0.801 0.500
Ru3 0.199 0.067 0.500
Ru4 0.301 0.567 0.500
Ru5 0.433 0.301 0.500
Ru6 0.500 0.000 0.500
Ru7 0.567 0.699 0.500
Ru8 0.699 0.433 0.500
Ru9 0.801 0.933 0.500
Ru10 0.933 0.199 0.500

Computed properties:
As for the raw total energy: -155.19 eV/cell. The calculation puts the mass density at 9.679 g/cm³. For the total moment, the calculation gives 0.00 Bohr magnetons per cell.



[23]
## Nd2HoAl2 (PBE)

Data for an optimized crystal structure of Nd2HoAl2.

a = 5.843 Å, b = 5.843 Å, c = 5.843 Å
α = 130.11°, β = 108.66°, γ = 92.05°
Positions (direct):
Nd1 0.198 0.198 0.000
Nd2 0.802 0.802 0.000
Ho1 0.500 0.000 0.500
Al1 0.198 0.500 0.698
Al2 0.802 0.500 0.302

Computed properties:
As for the raw total energy: -23.14 eV/cell. The calculation puts the mass density at 6.182 g/cm³. Its energy above the most stable polymorph in this dataset is 0 meV per atom. For the total moment, the calculation gives 0.00 Bohr magnetons per cell.